An optimized crystal structure of Rb5NaHg2, computed with PBE.

a = 9.833 Å, b = 9.833 Å, c = 19.195 Å
α = 90.00°, β = 90.00°, γ = 90.00°
Space group I4/mcm (No. 140)
Inequivalent atoms, fractional coordinates:
Rb 0.000 0.000 0.000 [4 per cell]
Rb 0.169 0.331 0.137 [16 per cell]
Na 0.000 0.000 0.250 [4 per cell]
Hg 0.113 0.387 0.500 [8 per cell]

Calculated values
- Magnetization: 0.0 μB per formula unit
- Electronic total energy: -0.96 eV/atom
- Energy relative to the elements: -0.1156 eV per atom
- Density of states at the Fermi level: 26.20 states/eV per cell

---

An optimized crystal structure of Re2H4Os, computed with PBE.

a = 3.124 Å, b = 3.124 Å, c = 11.932 Å
α = 90.00°, β = 90.00°, γ = 90.00°
Space group I4/mmm (No. 139)
Inequivalent atoms, fractional coordinates:
Re 0.000 0.000 0.181 [4 per cell]
H 0.000 0.000 0.341 [4 per cell]
H 0.000 0.500 0.000 [4 per cell]
Os 0.000 0.000 0.500 [2 per cell]

Calculated values
- Magnetization: 0.0 μB per formula unit
- Electronic total energy: -6.39 eV/atom
- Density of states at the Fermi level: 7.02 states/eV per cell

---

An optimized crystal structure of RuC2N, computed with PBE.

a = 4.444 Å, b = 4.444 Å, c = 6.807 Å
α = 90.00°, β = 90.00°, γ = 90.00°
Space group I-42d (No. 122)
Inequivalent atoms, fractional coordinates:
Ru 0.000 0.000 0.000 [4 per cell]
C 0.166 0.250 0.625 [8 per cell]
N 0.000 0.000 0.500 [4 per cell]

Calculated values
- E_form (uncorrected): 1.228 eV/atom
- Magnetization: 0.0 μB per formula unit
- Electronic total energy: -7.78 eV/atom
- Density of states at the Fermi level: 5.34 states/eV per cell